A plane-wave DFT calculation with PBE-GGA was carried out for crystalline Th2Al2Si3 at its relaxed geometry.

abc: 9.485 9.485 7.335
angles: 90.00 90.00 154.38
Fractional positions:
Th  0.057  0.943  0.750
Th  0.152  0.848  0.250
Th  0.848  0.152  0.750
Th  0.943  0.057  0.250
Al  0.315  0.685  0.064
Al  0.315  0.685  0.436
Al  0.685  0.315  0.564
Al  0.685  0.315  0.936
Si  0.226  0.774  0.750
Si  0.444  0.556  0.577
Si  0.444  0.556  0.923
Si  0.556  0.444  0.077
Si  0.556  0.444  0.423
Si  0.774  0.226  0.250

Results
- ΔE_f (raw) (meV/atom) = -445
- space-group type = No. 63
- uncorrected energy (Ha/atom) = -0.2190

A plane-wave DFT calculation with PBE-GGA was carried out for crystalline Sc2SO at its relaxed geometry.

abc: 6.088 6.088 6.088
angles: 90.00 90.00 90.00
Fractional positions:
Sc  0.250  0.250  0.250
Sc  0.250  0.250  0.750
Sc  0.250  0.750  0.250
Sc  0.250  0.750  0.750
Sc  0.750  0.250  0.250
Sc  0.750  0.250  0.750
Sc  0.750  0.750  0.250
Sc  0.750  0.750  0.750
S  0.000  0.000  0.000
S  0.000  0.500  0.500
S  0.500  0.000  0.500
S  0.500  0.500  0.000
O  0.000  0.000  0.500
O  0.000  0.500  0.000
O  0.500  0.000  0.000
O  0.500  0.500  0.500

Results
- energy relative to the lowest polymorph listed for this composition (kJ per mole of atoms) = 45.05
- ΔE_f (raw) (meV/atom) = -1699
- space-group type = No. 225
- uncorrected energy (Ha/atom) = -0.2623

A plane-wave DFT calculation with PBE-GGA was carried out for crystalline Nd12CuAg6 at its relaxed geometry.

abc: 8.120 8.120 8.120
angles: 88.90 88.90 88.90
Fractional positions:
Nd  0.039  0.949  0.306
Nd  0.051  0.694  0.961
Nd  0.145  0.490  0.363
Nd  0.306  0.039  0.949
Nd  0.363  0.145  0.490
Nd  0.490  0.363  0.145
Nd  0.510  0.637  0.855
Nd  0.637  0.855  0.510
Nd  0.694  0.961  0.051
Nd  0.855  0.510  0.637
Nd  0.949  0.306  0.039
Nd  0.961  0.051  0.694
Cu  0.500  0.500  0.500
Ag  0.232  0.392  0.758
Ag  0.242  0.768  0.608
Ag  0.392  0.758  0.232
Ag  0.608  0.242  0.768
Ag  0.758  0.232  0.392
Ag  0.768  0.608  0.242

Results
- space-group type = No. 148
- uncorrected energy (Ha/atom) = -0.1531

A plane-wave DFT calculation with PBE-GGA was carried out for crystalline BaLa2CdCo at its relaxed geometry.

abc: 5.287 5.287 6.074
angles: 90.00 90.00 90.00
Fractional positions:
Ba  0.000  0.000  0.000
La  0.000  0.500  0.500
La  0.500  0.000  0.500
Cd  0.500  0.500  0.000
Co  0.000  0.000  0.500

Results
- energy relative to the lowest polymorph listed for this composition (kJ per mole of atoms) = 4.45
- space-group type = No. 123
- uncorrected energy (Ha/atom) = -0.1466

A plane-wave DFT calculation with PBE-GGA was carried out for crystalline Sc3AlN at its relaxed geometry.

abc: 6.220 6.220 5.428
angles: 104.07 104.07 60.87
Fractional positions:
Sc  0.000  0.000  0.000
Sc  0.003  0.503  0.023
Sc  0.258  0.774  0.503
Sc  0.270  0.270  0.554
Sc  0.503  0.003  0.023
Sc  0.774  0.258  0.503
Al  0.504  0.504  0.999
Al  0.769  0.769  0.516
N  0.134  0.134  0.769
N  0.876  0.876  0.258

Results
- ΔE_f (raw) (meV/atom) = -892
- space-group type = No. 8
- uncorrected energy (Ha/atom) = -0.2611

A plane-wave DFT calculation with PBE-GGA was carried out for crystalline Ho12Mn5C15 at its relaxed geometry.

abc: 10.423 10.423 5.023
angles: 90.00 90.00 120.00
Fractional positions:
Ho  0.000  0.431  0.000
Ho  0.000  0.794  0.000
Ho  0.186  0.731  0.500
Ho  0.206  0.206  0.000
Ho  0.269  0.455  0.500
Ho  0.431  0.000  0.000
Ho  0.455  0.269  0.500
Ho  0.545  0.814  0.500
Ho  0.569  0.569  0.000
Ho  0.731  0.186  0.500
Ho  0.794  0.000  0.000
Ho  0.814  0.545  0.500
Mn  0.000  0.154  0.500
Mn  0.154  0.000  0.500
Mn  0.333  0.667  0.000
Mn  0.667  0.333  0.000
Mn  0.846  0.846  0.500
C  0.000  0.325  0.500
C  0.000  0.456  0.500
C  0.000  0.798  0.500
C  0.194  0.718  0.000
C  0.202  0.202  0.500
C  0.282  0.476  0.000
C  0.325  0.000  0.500
C  0.456  0.000  0.500
C  0.476  0.282  0.000
C  0.524  0.806  0.000
C  0.544  0.544  0.500
C  0.675  0.675  0.500
C  0.718  0.194  0.000
C  0.798  0.000  0.500
C  0.806  0.524  0.000

Results
- space-group type = No. 189
- uncorrected energy (Ha/atom) = -0.2881

A plane-wave DFT calculation with PBE-GGA was carried out for crystalline Cr2MoPt at its relaxed geometry.

abc: 8.988 2.648 4.708
angles: 90.00 98.97 90.00
Fractional positions:
Cr  0.000  0.000  0.000
Cr  0.247  0.500  0.236
Cr  0.500  0.500  0.000
Cr  0.747  0.000  0.236
Mo  0.242  0.000  0.746
Mo  0.742  0.500  0.746
Pt  0.490  0.000  0.478
Pt  0.990  0.500  0.478

Results
- space-group type = No. 8
- uncorrected energy (Ha/atom) = -0.3286

A plane-wave DFT calculation with PBE-GGA was carried out for crystalline AlCo4Br at its relaxed geometry.

abc: 4.891 4.891 4.891
angles: 60.00 60.00 60.00
Fractional positions:
Al  0.000  0.000  0.000
Co  0.374  0.374  0.374
Co  0.374  0.374  0.877
Co  0.374  0.877  0.374
Co  0.877  0.374  0.374
Br  0.750  0.750  0.750

Results
- ΔE_f (raw) (meV/atom) = 495
- space-group type = No. 216
- uncorrected energy (Ha/atom) = -0.1891

no.,DOS at the Fermi energy (states/eV per atom)
1,0.7004
2,0.5110
3,1.2236
4,1.2031
5,0.7808
6,0.3358
7,1.1636
8,1.4480